Here is a relaxed structure of RbTc2F8 from the Alexandria database. Energies are from PBE.

```
11
Lattice="5.470 -4.288 0.000 5.470 4.288 0.000 -0.313 0.000 4.256" Properties=species:S:1:pos:R:3 pbc="T T T"
Rb 0.000 0.000 0.000
Tc 4.025 0.000 3.049
Tc 6.601 0.000 1.207
F 4.108 1.925 3.080
F 2.130 0.000 2.839
F 6.519 1.925 1.176
F 4.377 0.000 0.930
F 6.250 0.000 3.327
F 4.108 -1.925 3.080
F 8.496 0.000 1.418
F 6.519 -1.925 1.176
```

* uncorrected energy: -5.39 eV per atom
* symmetry: C2/m (12)
* formation energy (no corrections): -2059 meV/atom